Entry 1:
# CrFeCo PBE-GGA relaxed
data_CrFeCo
_chemical_formula_sum 'Cr2 Fe2 Co2'
_cell_length_a 2.475
_cell_length_b 3.544
_cell_length_c 7.525
_cell_angle_alpha 90.00
_cell_angle_beta 90.00
_cell_angle_gamma 90.00
_symmetry_space_group_name_H-M 'I m m 2'
_symmetry_Int_Tables_number 44
loop_
_symmetry_equiv_pos_as_xyz
'x,y,z'
'-x,-y,z'
'-x,y,z'
'x,-y,z'
'x+1/2,y+1/2,z+1/2'
'-x+1/2,-y+1/2,z+1/2'
'-x+1/2,y+1/2,z+1/2'
'x+1/2,-y+1/2,z+1/2'
loop_
_atom_site_label
_atom_site_type_symbol
_atom_site_fract_x
_atom_site_fract_y
_atom_site_fract_z
Cr1 Cr 0.000 0.000 0.000
Fe1 Fe 0.000 0.000 0.670
Co1 Co 0.000 0.000 0.335
# theoretical density	8.392	g/cm³
# energy above the most stable polymorph in this dataset	0.000	kcal/mol of atoms
# total DFT energy (no corrections)	-8.3234	eV per atom

Entry 2:
# CrFe2Co PBE-GGA relaxed
data_CrFe2Co
_chemical_formula_sum 'Cr1 Fe2 Co1'
_cell_length_a 2.452
_cell_length_b 2.452
_cell_length_c 7.277
_cell_angle_alpha 90.00
_cell_angle_beta 90.00
_cell_angle_gamma 90.00
_symmetry_space_group_name_H-M 'P 4 m m'
_symmetry_Int_Tables_number 99
loop_
_symmetry_equiv_pos_as_xyz
'x,y,z'
'-y,x,z'
'-x,-y,z'
'y,-x,z'
'-x,y,z'
'y,x,z'
'x,-y,z'
'-y,-x,z'
loop_
_atom_site_label
_atom_site_type_symbol
_atom_site_fract_x
_atom_site_fract_y
_atom_site_fract_z
Cr1 Cr 0.000 0.000 0.000
Fe1 Fe 0.000 0.000 0.514
Fe2 Fe 0.500 0.500 0.266
Co1 Co 0.500 0.500 0.761
# theoretical density	8.448	g/cm³
# total DFT energy (no corrections)	-8.3363	eV per atom

Entry 3:
# CrFeCo PBE-GGA relaxed
data_CrFeCo
_chemical_formula_sum 'Cr4 Fe4 Co4'
_cell_length_a 5.453
_cell_length_b 5.453
_cell_length_c 5.453
_cell_angle_alpha 90.00
_cell_angle_beta 90.00
_cell_angle_gamma 90.00
_symmetry_space_group_name_H-M 'F -4 3 m'
_symmetry_Int_Tables_number 216
_symmetry_space_group_name_Hall 'F -4 2 3'
loop_
_atom_site_label
_atom_site_type_symbol
_atom_site_fract_x
_atom_site_fract_y
_atom_site_fract_z
Cr1 Cr 0.000 0.000 0.000
Fe1 Fe 0.250 0.250 0.750
Co1 Co 0.000 0.000 0.500
# theoretical density	6.833	g/cm³
# energy above the most stable polymorph in this dataset	11.578	kcal/mol of atoms
# total DFT energy (no corrections)	-7.8213	eV per atom

Entry 4:
# CrFe5Co2 PBE-GGA relaxed
data_CrFe5Co2
_chemical_formula_sum 'Cr2 Fe10 Co4'
_cell_length_a 4.910
_cell_length_b 4.929
_cell_length_c 8.414
_cell_angle_alpha 73.09
_cell_angle_beta 84.25
_cell_angle_gamma 70.47
_symmetry_space_group_name_H-M 'P -1'
_symmetry_Int_Tables_number 2
loop_
_symmetry_equiv_pos_as_xyz
'x,y,z'
'-x,-y,-z'
loop_
_atom_site_label
_atom_site_type_symbol
_atom_site_fract_x
_atom_site_fract_y
_atom_site_fract_z
Cr1 Cr 0.248 0.497 0.001
Fe1 Fe 0.001 0.624 0.251
Fe2 Fe 0.249 0.999 0.000
Fe3 Fe 0.251 0.750 0.500
Fe4 Fe 0.498 0.375 0.752
Fe5 Fe 0.499 0.875 0.750
Co1 Co 0.002 0.122 0.252
Co2 Co 0.250 0.250 0.499
# theoretical density	8.122	g/cm³
# total DFT energy (no corrections)	-8.2521	eV per atom

no.,formation enthalpy at 0 K (eV/atom)
1,0.074
2,0.077
3,0.576
4,0.016